1.
DFT (GGA-PBE) results for a geometry-optimized PmPuHSe2 structure.

## Properties
energy: -7.2511 eV/atom

a = 4.1186 Å, b = 4.1186 Å, c = 12.6006 Å
α = 90.00°, β = 90.00°, γ = 90.00°
Site moments in Bohr magnetons follow the coordinates.
Element x y z (fractional)
Se  0.0000  0.5000  0.1292  -0.01
Se  0.5000  0.0000  0.8708  -0.01
Pu  0.5000  0.0000  0.5905  5.27
Se  0.0000  0.5000  0.6570  -0.09
Pu  0.0000  0.5000  0.4095  5.27
Pm  0.5000  0.0000  0.1121  -0.01
H  0.0000  0.0000  0.5000  -0.04
H  0.5000  0.5000  0.5000  -0.04
Se  0.5000  0.0000  0.3430  -0.09
Pm  0.0000  0.5000  0.8879  -0.01

---

2.
DFT (GGA-PBE) results for a geometry-optimized Ba2InOsSe structure.

## Properties
energy: -4.2951 eV/atom
raw formation energy: -0.04 eV per atom

a = 6.3713 Å, b = 4.5873 Å, c = 6.3713 Å
α = 90.00°, β = 90.00°, γ = 90.00°
Site moments in Bohr magnetons follow the coordinates.
Element x y z (fractional)
Se  0.0000  0.5000  0.0000  0.01
Ba  0.0000  0.0000  0.5000  0.05
Os  0.0000  0.0000  0.0000  0.05
In  0.5000  0.5000  0.5000  0.20
Ba  0.5000  0.0000  0.0000  0.06

---

3.
DFT (GGA-PBE) results for a geometry-optimized Ca2YPb structure.

## Properties
energy: -3.7643 eV/atom
formation energy: -0.22 eV/atom

a = 3.7472 Å, b = 4.9797 Å, c = 6.9112 Å
α = 90.00°, β = 90.00°, γ = 90.00°
Element x y z (fractional)
Y  0.5000  0.5000  0.7500
Ca  0.0000  0.0000  0.4891
Ca  0.0000  0.0000  0.0109
Pb  0.5000  0.5000  0.2500

---

4.
DFT (GGA-PBE) results for a geometry-optimized LaIrRu2 structure.

## Properties
distance to the lowest polymorph of the same formula: 68 kJ/mol of formula units
energy: -7.7692 eV/atom
formation energy: 0.32 eV/atom

a = 4.8012 Å, b = 4.8012 Å, c = 3.0500 Å
α = 90.00°, β = 90.00°, γ = 90.00°
Site moments in Bohr magnetons follow the coordinates.
Element x y z (fractional)
Ru  0.5000  0.5000  0.0000  0.44
Ru  0.0000  0.0000  0.0000  0.44
Ir  0.5000  0.0000  0.5000  0.26
La  0.0000  0.5000  0.5000  -0.03